! SmDy5Tm2 (PBE, optimized geometry); values from VASP
! - SG = Pbam, No. 55
! - ΔE_f (eV/atom) = 0.018
! - DOS(E_F) (states/eV/f.u.) = 9.854
! - electronic total energy (eV/atom) = -4.566
&SYSTEM
  ibrav = 0, nat = 16, ntyp = 3
/
ATOMIC_SPECIES
Sm 150.36 Sm.upf
Dy 162.50 Dy.upf
Tm 168.93 Tm.upf
CELL_PARAMETERS angstrom
7.079 0.000 0.000
0.000 14.158 0.000
0.000 0.000 4.995
ATOMIC_POSITIONS crystal
Sm 0.000 0.000 0.000
Sm 0.500 0.500 0.000
Dy 0.000 0.500 0.000
Dy 0.001 0.251 0.000
Dy 0.249 0.626 0.500
Dy 0.251 0.126 0.500
Dy 0.499 0.751 0.000
Dy 0.500 0.000 0.000
Dy 0.501 0.249 0.000
Dy 0.749 0.874 0.500
Dy 0.751 0.374 0.500
Dy 0.999 0.749 0.000
Tm 0.250 0.375 0.500
Tm 0.250 0.875 0.500
Tm 0.750 0.125 0.500
Tm 0.750 0.625 0.500

---

! Cu2RhAu (PBE, optimized geometry); values from VASP
! - SG = P2/m, No. 10
! - ΔE_f (eV/atom) = 0.116
! - DOS(E_F) (states/eV/f.u.) = 2.697
! - electronic total energy (eV/atom) = -4.589
&SYSTEM
  ibrav = 0, nat = 4, ntyp = 3
/
ATOMIC_SPECIES
Cu 63.55 Cu.upf
Rh 102.91 Rh.upf
Au 196.97 Au.upf
CELL_PARAMETERS angstrom
2.690 0.000 0.000
0.000 4.404 0.000
-0.220 0.000 4.896
ATOMIC_POSITIONS crystal
Cu 0.213 0.000 0.232
Cu 0.787 0.000 0.768
Rh 0.500 0.500 0.000
Au 0.000 0.500 0.500

---

! LaAg2Au (PBE, optimized geometry); values from VASP
! - SG = Immm, No. 71
! - ΔE_f (eV/atom) = -0.315
! - DOS(E_F) (states/eV/f.u.) = 2.078
! - electronic total energy (eV/atom) = -3.792
&SYSTEM
  ibrav = 0, nat = 4, ntyp = 3
/
ATOMIC_SPECIES
La 138.91 La.upf
Ag 107.87 Ag.upf
Au 196.97 Au.upf
CELL_PARAMETERS angstrom
-2.290 2.295 4.306
2.290 -2.295 4.306
2.290 2.295 -4.306
ATOMIC_POSITIONS crystal
La 0.000 0.000 0.000
Ag 0.250 0.750 0.500
Ag 0.750 0.250 0.500
Au 0.500 0.500 0.000

---

! PuHf2As3 (PBE, optimized geometry); values from VASP
! - SG = Immm, No. 71
! - ΔE_f (eV/atom) = -1.016
! - DOS(E_F) (states/eV/f.u.) = 10.761
! - electronic total energy (eV/atom) = -9.047
&SYSTEM
  ibrav = 0, nat = 6, ntyp = 3
/
ATOMIC_SPECIES
Pu 244.00 Pu.upf
Hf 178.49 Hf.upf
As 74.92 As.upf
CELL_PARAMETERS angstrom
-1.955 2.785 5.883
1.955 -2.785 5.883
1.955 2.785 -5.883
ATOMIC_POSITIONS crystal
Pu 0.000 0.000 0.000
Hf 0.337 0.337 0.000
Hf 0.663 0.663 0.000
As 0.176 0.676 0.500
As 0.500 0.000 0.500
As 0.824 0.324 0.500